Record 1
AlGa2Ni2: optimized geometry, GGA-PBE.

Cell: 6.4547 6.4547 3.2869 Å, 90.00 90.00 90.00°
Closest atoms and distances in Å follow each position.
Sites, in units of the cell vectors:
Ni  0.1456  0.3544  0.0000  6 Ga 2.46-2.54, 2 Al 2.47, 1 Ni 2.66
Ni  0.3544  0.8544  0.0000  6 Ga 2.46-2.54, 2 Al 2.47, 1 Ni 2.66
Ga  0.1544  0.6544  0.5000  6 Ni 2.46-2.54
Ni  0.6456  0.1456  0.0000  6 Ga 2.46-2.54, 2 Al 2.47, 1 Ni 2.66
Al  0.5000  0.5000  0.0000  4 Ni 2.47
Al  0.0000  0.0000  0.0000  4 Ni 2.47
Ni  0.8544  0.6456  0.0000  6 Ga 2.46-2.54, 2 Al 2.47, 1 Ni 2.66
Ga  0.3456  0.1544  0.5000  6 Ni 2.46-2.54
Ga  0.6544  0.8456  0.5000  6 Ni 2.46-2.54
Ga  0.8456  0.3456  0.5000  6 Ni 2.46-2.54

Summary:
The calculation puts the formation energy at -292.5 meV/atom. As for the total energy: -45.6 eV/cell. The value obtained for the total magnetic moment is 0.000 μB per atom. The relative energy among the computed polymorphs is 0.1933 eV per atom. As for the symmetry: P4/mbm.

***

Record 2
AlGaNi2: optimized geometry, GGA-PBE.

Cell: 6.4863 6.4863 5.2808 Å, 52.11 52.11 90.00°
Closest atoms and distances in Å follow each position.
Sites, in units of the cell vectors:
Al  0.2500  0.7500  0.5000  4 Ni 2.38, 2 Ga 2.62
Ga  0.0000  0.0000  0.0000  4 Ni 2.39, 2 Al 2.62
Ni  0.3750  0.3756  0.7500  2 Al 2.38, 2 Ga 2.39, 2 Ni 2.62
Ni  0.6244  0.1250  0.2500  2 Al 2.38, 2 Ga 2.39, 2 Ni 2.62
Ga  0.7500  0.2500  0.5000  4 Ni 2.39, 2 Al 2.62
Ni  0.1256  0.6250  0.2500  2 Al 2.38, 2 Ga 2.39, 2 Ni 2.62
Al  0.5000  0.5000  0.0000  4 Ni 2.38, 2 Ga 2.62
Ni  0.8750  0.8744  0.7500  2 Al 2.38, 2 Ga 2.39, 2 Ni 2.62

Summary:
The calculation puts the formation energy at -55.5 meV/atom. As for the total energy: -37.1 eV/cell. The value obtained for the total magnetic moment is 0.000 μB per atom. As for the symmetry: I-42d.

***

Record 3
AlGa4Ni: optimized geometry, GGA-PBE.

Cell: 6.3089 6.3089 6.6119 Å, 118.50 118.50 90.00°
Closest atoms and distances in Å follow each position.
Sites, in units of the cell vectors:
Ga  0.0102  0.2067  0.7169  2 Ni 2.62, 5 Ga 2.71-2.85, 2 Al 2.77
Ga  0.2067  0.7067  0.7169  2 Ni 2.62, 5 Ga 2.71-2.85, 2 Al 2.77
Ni  0.7500  0.7500  0.5000  2 Al 2.44, 8 Ga 2.62
Ga  0.7933  0.2933  0.2831  2 Ni 2.62, 5 Ga 2.71-2.85, 2 Al 2.77
Ga  0.9898  0.7933  0.2831  2 Ni 2.62, 5 Ga 2.71-2.85, 2 Al 2.77
Ga  0.4898  0.9898  0.2831  2 Ni 2.62, 5 Ga 2.71-2.85, 2 Al 2.77
Ga  0.2933  0.4898  0.2831  2 Ni 2.62, 5 Ga 2.71-2.85, 2 Al 2.77
Ga  0.5102  0.0102  0.7169  2 Ni 2.62, 5 Ga 2.71-2.85, 2 Al 2.77
Al  0.0000  0.0000  0.0000  2 Ni 2.44
Ni  0.2500  0.2500  0.5000  2 Al 2.44, 8 Ga 2.62
Al  0.5000  0.5000  0.0000  2 Ni 2.44
Ga  0.7067  0.5102  0.7169  2 Ni 2.62, 5 Ga 2.71-2.85, 2 Al 2.77

Summary:
The calculation puts the formation energy at -211.2 meV/atom. As for the total energy: -45.8 eV/cell. The value obtained for the total magnetic moment is 0.000 μB per atom. As for the symmetry: I4/mcm.

***

Record 4
Al3GaNi12: optimized geometry, GGA-PBE.

Cell: 3.5734 3.5734 14.2435 Å, 90.00 90.00 90.00°
Closest atoms and distances in Å follow each position.
Sites, in units of the cell vectors:
Ni  0.5000  0.0000  0.3753  4 Al 2.52, 8 Ni 2.52-2.53
Ni  0.0000  0.5000  0.6247  8 Ni 2.52-2.53, 4 Al 2.52
Ni  0.5000  0.0000  0.1259  8 Ni 2.52-2.53, 2 Al 2.52, 2 Ga 2.53
Ni  0.5000  0.5000  0.0000  4 Ga 2.53, 8 Ni 2.53
Ni  0.0000  0.5000  0.3753  8 Ni 2.52-2.53, 4 Al 2.52
Ni  0.0000  0.5000  0.1259  8 Ni 2.52-2.53, 2 Al 2.52, 2 Ga 2.53
Al  0.0000  0.0000  0.2506  12 Ni 2.52-2.53
Al  0.0000  0.0000  0.5000  12 Ni 2.52-2.53
Ni  0.0000  0.5000  0.8741  8 Ni 2.52-2.53, 2 Al 2.52, 2 Ga 2.53
Ni  0.5000  0.5000  0.5000  8 Ni 2.52, 4 Al 2.53
Al  0.0000  0.0000  0.7494  12 Ni 2.52-2.53
Ni  0.5000  0.0000  0.6247  4 Al 2.52, 8 Ni 2.52-2.53
Ni  0.5000  0.5000  0.7495  8 Ni 2.52, 4 Al 2.53
Ga  0.0000  0.0000  0.0000  12 Ni 2.53
Ni  0.5000  0.5000  0.2505  8 Ni 2.52, 4 Al 2.53
Ni  0.5000  0.0000  0.8741  8 Ni 2.52-2.53, 2 Al 2.52, 2 Ga 2.53

Summary:
The calculation puts the formation energy at -395.0 meV/atom. As for the total energy: -89.9 eV/cell. The value obtained for the total magnetic moment is 0.181 μB per atom. As for the symmetry: P4/mmm.

***

Record 5
AlGa2Ni9: optimized geometry, GGA-PBE.

Cell: 3.5755 3.5755 10.7328 Å, 90.00 90.00 90.00°
Closest atoms and distances in Å follow each position.
Sites, in units of the cell vectors:
Ga  0.0000  0.0000  0.6669  12 Ni 2.53-2.54
Ni  0.5000  0.5000  0.3327  4 Ga 2.53, 8 Ni 2.53
Ni  0.0000  0.5000  0.5000  8 Ni 2.53, 4 Ga 2.53
Ni  0.5000  0.5000  0.0000  8 Ni 2.52, 4 Al 2.53
Ni  0.5000  0.5000  0.6673  4 Ga 2.53, 8 Ni 2.53
Ni  0.5000  0.0000  0.1656  2 Al 2.52, 8 Ni 2.52-2.53, 2 Ga 2.54
Ni  0.0000  0.5000  0.8344  8 Ni 2.52-2.53, 2 Al 2.52, 2 Ga 2.54
Ni  0.0000  0.5000  0.1656  8 Ni 2.52-2.53, 2 Al 2.52, 2 Ga 2.54
Ni  0.5000  0.0000  0.8344  2 Al 2.52, 8 Ni 2.52-2.53, 2 Ga 2.54
Al  0.0000  0.0000  0.0000  12 Ni 2.52-2.53
Ga  0.0000  0.0000  0.3331  12 Ni 2.53-2.54
Ni  0.5000  0.0000  0.5000  8 Ni 2.53, 4 Ga 2.53

Summary:
The calculation puts the formation energy at -336.5 meV/atom. As for the total energy: -65.9 eV/cell. The value obtained for the total magnetic moment is 0.187 μB per atom. As for the symmetry: P4/mmm.

***

Record 6
AlGaNi3: optimized geometry, GGA-PBE.

Cell: 2.6611 6.3370 8.0811 Å, 90.00 90.00 102.12°
Closest atoms and distances in Å follow each position.
Sites, in units of the cell vectors:
Ni  0.3370  0.6740  0.9953  2 Ga 2.42, 3 Al 2.45-2.62, 6 Ni 2.50-2.66
Al  0.2059  0.4119  0.2500  8 Ni 2.45-2.62, 2 Al 2.66
Ni  0.1237  0.2473  0.7500  2 Al 2.50, 6 Ni 2.50-2.66, 2 Ga 2.54
Ni  0.3370  0.6740  0.5047  2 Ga 2.42, 3 Al 2.45-2.62, 6 Ni 2.50-2.66
Ni  0.6630  0.3260  0.4953  2 Ga 2.42, 3 Al 2.45-2.62, 6 Ni 2.50-2.66
Ni  0.8763  0.7527  0.2500  2 Al 2.50, 6 Ni 2.50-2.66, 2 Ga 2.54
Ga  0.0000  0.0000  0.5000  6 Ni 2.42-2.54, 2 Ga 2.66
Al  0.7941  0.5881  0.7500  8 Ni 2.45-2.62, 2 Al 2.66
Ga  0.0000  0.0000  0.0000  6 Ni 2.42-2.54, 2 Ga 2.66
Ni  0.6630  0.3260  0.0047  2 Ga 2.42, 3 Al 2.45-2.62, 6 Ni 2.50-2.66

Summary:
The calculation puts the formation energy at -300.2 meV/atom. As for the total energy: -51.2 eV/cell. The value obtained for the total magnetic moment is 0.000 μB per atom. The relative energy among the computed polymorphs is 0.0000 eV per atom. As for the symmetry: Cmcm.

***

Record 7
AlGaNi3: optimized geometry, GGA-PBE.

Cell: 4.2784 4.2784 4.2784 Å, 90.00 90.00 90.00°
Closest atoms and distances in Å follow each position.
Sites, in units of the cell vectors:
Ni  0.0000  0.5000  0.0000  2 Ga 2.14
Al  0.5000  0.5000  0.5000  12 Ni 3.03
Ga  0.0000  0.0000  0.0000  6 Ni 2.14
Ni  0.5000  0.0000  0.0000  2 Ga 2.14
Ni  0.0000  0.0000  0.5000  2 Ga 2.14

Summary:
The calculation puts the formation energy at 496.1 meV/atom. As for the total energy: -21.6 eV/cell. The value obtained for the total magnetic moment is 0.000 μB per atom. The relative energy among the computed polymorphs is 0.7963 eV per atom. As for the symmetry: Pm-3m.

***

Record 8
AlGaNi2: optimized geometry, GGA-PBE.

Cell: 2.7680 2.7680 7.8424 Å, 79.91 79.91 59.85°
Closest atoms and distances in Å follow each position.
Sites, in units of the cell vectors:
Ni  0.2512  0.2512  0.2494  3 Al 2.49, 3 Ga 2.50, 6 Ni 2.76-2.77
Ga  0.4999  0.4999  0.4998  6 Ni 2.50-2.51, 6 Ga 2.76-2.77
Ni  0.0822  0.0822  0.7507  3 Al 2.49, 3 Ga 2.50-2.51, 6 Ni 2.76-2.77
Al  0.6667  0.6667  0.0000  6 Ni 2.49, 6 Al 2.76-2.77

Summary:
The calculation puts the formation energy at -368.8 meV/atom. As for the total energy: -19.8 eV/cell. The value obtained for the total magnetic moment is 0.000 μB per atom. As for the symmetry: Cm.

***

Record 9
Al5GaNi6: optimized geometry, GGA-PBE.

Cell: 4.0620 5.8764 6.4237 Å, 90.00 71.57 90.00°
Closest atoms and distances in Å follow each position.
Sites, in units of the cell vectors:
Ni  0.5000  0.7482  0.0000  6 Al 2.50-2.52, 2 Ga 2.51
Ga  0.0000  0.0000  0.0000  8 Ni 2.51-2.52
Ni  0.8328  0.2508  0.3344  7 Al 2.50-2.51, 1 Ga 2.52
Al  0.0000  0.5000  0.0000  8 Ni 2.50-2.51
Ni  0.1672  0.7492  0.6656  7 Al 2.50-2.51, 1 Ga 2.52
Al  0.6669  0.5000  0.6662  8 Ni 2.50
Ni  0.8328  0.7492  0.3344  7 Al 2.50-2.51, 1 Ga 2.52
Al  0.3327  0.0000  0.3347  8 Ni 2.50-2.52
Ni  0.5000  0.2518  0.0000  6 Al 2.50-2.52, 2 Ga 2.51
Al  0.3331  0.5000  0.3338  8 Ni 2.50
Ni  0.1672  0.2508  0.6656  7 Al 2.50-2.51, 1 Ga 2.52
Al  0.6673  0.0000  0.6653  8 Ni 2.50-2.52

Summary:
The calculation puts the formation energy at -611.8 meV/atom. As for the total energy: -63.8 eV/cell. The value obtained for the total magnetic moment is 0.000 μB per atom. As for the symmetry: Cmmm.

***

Record 10
AlGa3Ni: optimized geometry, GGA-PBE.

Cell: 4.5840 4.5840 4.5840 Å, 90.00 90.00 90.00°
Closest atoms and distances in Å follow each position.
Sites, in units of the cell vectors:
Al  0.5000  0.5000  0.5000  12 Ga 3.24
Ga  0.0000  0.0000  0.5000  2 Ni 2.29
Ga  0.0000  0.5000  0.0000  2 Ni 2.29
Ga  0.5000  0.0000  0.0000  2 Ni 2.29
Ni  0.0000  0.0000  0.0000  6 Ga 2.29

Summary:
The calculation puts the formation energy at 58.8 meV/atom. As for the total energy: -18.3 eV/cell. The value obtained for the total magnetic moment is 0.000 μB per atom. The relative energy among the computed polymorphs is 0.0000 eV per atom. As for the symmetry: Pm-3m.

***

Record 11
Al4GaNi7: optimized geometry, GGA-PBE.

Cell: 4.3471 8.1252 5.1068 Å, 80.17 64.81 74.48°
Closest atoms and distances in Å follow each position.
Sites, in units of the cell vectors:
Ni  0.3612  0.5190  0.7587  5 Al 2.38-2.51, 4 Ni 2.43-2.56
Ni  0.6388  0.4810  0.2413  5 Al 2.38-2.51, 4 Ni 2.43-2.56
Al  0.5954  0.2260  0.5832  8 Ni 2.46-2.55
Ni  0.5000  0.0000  0.0000  2 Ga 2.17
Ni  0.2092  0.0808  0.5008  1 Ga 2.35, 4 Al 2.36-2.49, 4 Ni 2.44-2.52
Ni  0.9407  0.3458  0.7728  4 Ni 2.47-2.56, 4 Al 2.55-2.76
Ni  0.0593  0.6542  0.2272  4 Ni 2.47-2.56, 4 Al 2.55-2.76
Ga  0.0000  0.0000  0.0000  4 Ni 2.17-2.35
Al  0.2471  0.3267  0.1790  5 Ni 2.36-2.59
Al  0.4046  0.7740  0.4168  8 Ni 2.46-2.55
Al  0.7529  0.6733  0.8210  5 Ni 2.36-2.59
Ni  0.7908  0.9192  0.4992  1 Ga 2.35, 4 Al 2.36-2.49, 4 Ni 2.44-2.52

Summary:
The calculation puts the formation energy at -272.3 meV/atom. As for the total energy: -61.7 eV/cell. The value obtained for the total magnetic moment is 0.000 μB per atom. As for the symmetry: C2/m.

***

Record 12
AlGa3Ni3: optimized geometry, GGA-PBE.

Cell: 4.9998 4.9697 4.9998 Å, 109.35 109.59 109.35°
Closest atoms and distances in Å follow each position.
Sites, in units of the cell vectors:
Ni  0.0000  0.5038  0.5001  6 Ga 2.48-2.50, 2 Al 2.50
Ni  0.4999  0.0037  0.4999  6 Ga 2.48-2.50, 2 Al 2.50
Ni  0.5001  0.5038  0.0000  6 Ga 2.48-2.50, 2 Al 2.50
Al  0.0000  0.5029  0.0000  6 Ni 2.50
Ga  0.5002  0.5037  0.5002  6 Ni 2.48-2.50
Ga  0.0000  0.0036  0.4998  6 Ni 2.48-2.50
Ga  0.4998  0.0036  0.0000  6 Ni 2.48-2.50

Summary:
The calculation puts the formation energy at -361.4 meV/atom. As for the total energy: -32.7 eV/cell. The value obtained for the total magnetic moment is 0.000 μB per atom. As for the symmetry: R-3m.

***

Record 13
Al8Ga2Ni3: optimized geometry, GGA-PBE.

Cell: 4.1186 8.1466 7.3629 Å, 123.68 90.00 90.00°
Closest atoms and distances in Å follow each position.
Sites, in units of the cell vectors:
Al  0.0000  0.6116  0.2224  2 Ni 2.48, 2 Ga 2.64, 1 Al 2.72
Al  0.5000  0.6310  0.7714  3 Ni 2.49-2.50, 2 Ga 2.57-2.69
Al  0.0000  0.1203  0.2400  4 Ni 2.48-2.53, 2 Ga 2.63
Al  0.5000  0.8591  0.2281  3 Ni 2.49-2.50, 2 Ga 2.57-2.69
Al  0.0000  0.3884  0.7776  2 Ni 2.48, 2 Ga 2.64, 1 Al 2.72
Al  0.5000  0.1409  0.7719  3 Ni 2.49-2.50, 2 Ga 2.57-2.69
Al  0.0000  0.8797  0.7600  4 Ni 2.48-2.53, 2 Ga 2.63
Ni  0.0000  0.7543  0.0000  8 Al 2.48-2.49
Ga  0.5000  0.2535  0.5076  8 Al 2.57-2.69
Ni  0.0000  0.2457  0.0000  8 Al 2.48-2.49
Al  0.5000  0.3690  0.2286  3 Ni 2.49-2.50, 2 Ga 2.57-2.69
Ga  0.5000  0.7465  0.4924  8 Al 2.57-2.69
Ni  0.5000  0.0000  0.0000  8 Al 2.50-2.53

Summary:
The calculation puts the formation energy at -267.7 meV/atom. As for the total energy: -56.8 eV/cell. The value obtained for the total magnetic moment is 0.000 μB per atom. As for the symmetry: P2/m.

***

Record 14
AlGaNi5: optimized geometry, GGA-PBE.

Cell: 3.6050 3.6050 6.7120 Å, 90.00 90.00 90.00°
Closest atoms and distances in Å follow each position.
Sites, in units of the cell vectors:
Ni  0.0000  0.5000  0.7607  2 Al 2.41, 2 Ga 2.51, 6 Ni 2.51-2.55
Al  0.5000  0.5000  0.0000  8 Ni 2.41
Ni  0.5000  0.0000  0.7607  2 Al 2.41, 6 Ni 2.51-2.55, 2 Ga 2.51
Ni  0.5000  0.5000  0.5000  8 Ni 2.51, 4 Ga 2.55
Ni  0.0000  0.5000  0.2393  2 Al 2.41, 2 Ga 2.51, 6 Ni 2.51-2.55
Ga  0.0000  0.0000  0.5000  12 Ni 2.51-2.55
Ni  0.5000  0.0000  0.2393  2 Al 2.41, 6 Ni 2.51-2.55, 2 Ga 2.51

Summary:
The calculation puts the formation energy at -188.6 meV/atom. As for the total energy: -37.0 eV/cell. The value obtained for the total magnetic moment is 0.030 μB per atom. The relative energy among the computed polymorphs is 0.0000 eV per atom. As for the symmetry: P4/mmm.